Here is La2Nd8Dy3 after structural relaxation from the Alexandria database. Energies are from GGA-PBE.

Summary:
Density of states at the Fermi level, states/eV/f.u.: 20.7
SG: No. 12
Energy relative to the lowest polymorph listed for this composition, meV per atom: 41
DFT total energy, eV per atom: -4.553

POSCAR file:
```
La2Nd8Dy3
1.0
-4.2109 -3.7629 -0.8841
0.3255 -2.1097 7.4291
-7.2850 8.4621 -1.2990
La Nd Dy
2 8 3
Direct
0.4992 0.2412 0.4824
0.5008 0.7588 0.5176
0.0005 0.6663 0.3325
0.9995 0.3337 0.6675
0.9997 0.1284 0.2568
0.0003 0.8716 0.7432
0.4999 0.6028 0.7946
0.4999 0.1918 0.7946
0.5001 0.8082 0.2054
0.5001 0.3972 0.2054
0.5000 0.0000 0.0000
0.0000 0.2847 0.0000
0.0000 0.7153 0.0000
```

Here is Zn2Ga3Ag2 after structural relaxation from the Alexandria database. Energies are from GGA-PBE.

Summary:
Density of states at the Fermi level, states/eV/f.u.: 1.8
SG: No. 199
Energy relative to the lowest polymorph listed for this composition, meV per atom: 30
DFT total energy, eV per atom: -2.416

POSCAR file:
```
Zn2Ga3Ag2
1.0
-3.2426 5.3839 2.8587
-4.1793 -3.0362 -4.5813
1.7059 -4.5357 4.9184
Zn Ga Ag
4 6 4
Direct
0.0000 0.0000 0.3055
0.5000 0.3055 0.5000
0.6945 0.1945 0.1945
0.8055 0.5000 0.0000
0.6153 0.7500 0.8653
0.8847 0.2500 0.6347
0.1347 0.3847 0.2500
0.3653 0.1153 0.7500
0.2500 0.8653 0.1153
0.7500 0.6347 0.3847
0.0000 0.0000 0.8377
0.5000 0.8377 0.5000
0.1623 0.6623 0.6623
0.3377 0.5000 0.0000
```

Here is Y2ZrHg2 after structural relaxation from the Alexandria database. Energies are from GGA-PBE.

Summary:
Density of states at the Fermi level, states/eV/f.u.: 6.1
SG: No. 127
Energy relative to the lowest polymorph listed for this composition, meV per atom: 188
DFT total energy, eV per atom: -4.467

POSCAR file:
```
Y2ZrHg2
1.0
-7.6213 -0.2778 -3.7814
-3.1113 -4.3940 6.5935
-0.9230 3.1029 1.6323
Y Hg Zr
4 4 2
Direct
0.3481 0.8481 0.0000
0.8481 0.6519 0.0000
0.6519 0.1519 0.0000
0.1519 0.3481 0.0000
0.1474 0.6474 0.5000
0.6474 0.8526 0.5000
0.8526 0.3526 0.5000
0.3526 0.1474 0.5000
0.0000 0.0000 0.0000
0.5000 0.5000 0.0000
```

Here is Dy2OsC after structural relaxation from the Alexandria database. Energies are from GGA-PBE.

Summary:
Density of states at the Fermi level, states/eV/f.u.: 3.0
SG: No. 166
DFT total energy, eV per atom: -6.829

POSCAR file:
```
Dy2OsC
1.0
-2.6500 0.4099 2.0496
-3.1133 0.2040 -1.2872
-2.7048 -7.9099 0.8635
C Os Dy
1 1 2
Direct
0.5000 0.5000 0.5000
0.0000 0.0000 0.0000
0.1097 0.1097 0.6708
0.8903 0.8903 0.3292
```

Here is LiReSb2Te after structural relaxation from the Alexandria database. Energies are from GGA-PBE.

Summary:
Density of states at the Fermi level, states/eV/f.u.: 4.4
SG: No. 123
Raw formation energy, eV/atom: 1.188
Energy relative to the lowest polymorph listed for this composition, meV per atom: 696
DFT total energy, eV per atom: -3.962

POSCAR file:
```
LiReSb2Te
1.0
-2.6118 -1.6785 -3.6742
3.9653 -0.2310 -2.7132
0.8022 -4.6884 1.5716
Re Te Li Sb
1 1 1 2
Direct
0.5000 0.5000 0.5000
0.0000 0.0000 0.5000
0.0000 0.0000 0.0000
0.0000 0.5000 0.0000
0.5000 0.0000 0.0000
```

Here is Tb2MgAl2Pt5 after structural relaxation from the Alexandria database. Energies are from GGA-PBE.

Summary:
Density of states at the Fermi level, states/eV/f.u.: 3.9
SG: No. 127
DFT total energy, eV per atom: -5.861

POSCAR file:
```
Tb2MgAl2Pt5
1.0
3.7088 0.0000 0.0000
0.0000 9.8618 0.0000
0.0000 0.0000 9.8618
Tb Mg Al Pt
4 2 4 10
Direct
0.0000 0.6768 0.1768
0.0000 0.3232 0.8232
0.0000 0.1768 0.3232
0.0000 0.8232 0.6768
0.0000 0.0000 0.0000
0.0000 0.5000 0.5000
0.0000 0.1217 0.6217
0.0000 0.8783 0.3783
0.0000 0.6217 0.8783
0.0000 0.3783 0.1217
0.5000 0.2098 0.0662
0.5000 0.7902 0.9338
0.5000 0.0662 0.7902
0.5000 0.7098 0.4338
0.5000 0.9338 0.2098
0.5000 0.2902 0.5662
0.5000 0.5662 0.7098
0.5000 0.4338 0.2902
0.5000 0.5000 0.0000
0.5000 0.0000 0.5000
```

Number 1: calculated volume 466.4 Å³ per cell. Number 2: calculated volume 253.4 Å³ per cell. Number 3: calculated volume 262.7 Å³ per cell. Number 4: calculated volume 80.6 Å³ per cell. Number 5: calculated volume 115.9 Å³ per cell. Number 6: calculated volume 360.7 Å³ per cell.